Computed, not measured: a geometry-optimized LiAgAs2 structure at the PBE-GGA level of DFT.

As for the uncorrected energy: -3.5389 eV/atom. Its calculated formation energy is -0.02 eV per atom.

The space group is R-3m (No. 166, hexagonal axes) and the conventional cell measures 3.1435, 3.1435 and 25.0999 Å, with angles of 90.00, 90.00 and 120.00 degrees. Symmetry generates all atoms from Li at (0.0000, 0.0000, 0.0000), Ag at (0.0000, 0.0000, 0.5000) and As at (0.0000, 0.0000, 0.2524).

---

Computed, not measured: a geometry-optimized LiAg2As2 structure at the PBE-GGA level of DFT.

As for the uncorrected energy: -3.3768 eV/atom. Its calculated formation energy is 0.01 eV per atom.

The space group is P4/mbm (No. 127) and the conventional cell measures 7.946, 7.946 and 3.081 Å, with angles of 90.00, 90.00 and 90.00 degrees. Symmetry generates all atoms from Li at (0.000, 0.000, 0.000), Ag at (0.132, 0.368, 0.000) and As at (0.170, 0.670, 0.500).

---

Computed, not measured: a geometry-optimized LiAg4As structure at the PBE-GGA level of DFT.

As for the uncorrected energy: -2.9372 eV/atom. Its calculated formation energy is 0.06 eV per atom.

The space group is F-43m (No. 216) and the conventional cell measures 7.771, 7.771 and 7.771 Å, with angles of 90.00, 90.00 and 90.00 degrees. Symmetry generates all atoms from Li at (0.000, 0.000, 0.000), Ag at (0.125, 0.125, 0.625) and As at (0.250, 0.250, 0.250).

---

Computed, not measured: a geometry-optimized Li2AgAs structure at the PBE-GGA level of DFT.

As for the uncorrected energy: -3.1362 eV/atom. Its calculated formation energy is -0.30 eV per atom.

The space group is C2/m (No. 12) and the conventional cell measures 8.507, 2.973 and 5.319 Å, with angles of 90.00, 99.15 and 90.00 degrees. Symmetry generates all atoms from Li at (0.242, 0.000, 0.219), Ag at (0.000, 0.000, 0.500) and As at (0.000, 0.500, 0.000).

---

Computed, not measured: a geometry-optimized Li2AgAs structure at the PBE-GGA level of DFT.

As for the uncorrected energy: -3.0317 eV/atom. Its calculated formation energy is -0.20 eV per atom.

The space group is P4mm (No. 99) and the conventional cell measures 3.405, 3.405 and 5.797 Å, with angles of 90.00, 90.00 and 90.00 degrees. Symmetry generates all atoms from Li at (0.000, 0.000, 0.000), Li at (0.500, 0.500, 0.277), Ag at (0.000, 0.000, 0.508) and As at (0.500, 0.500, 0.779).

---

Computed, not measured: a geometry-optimized Li2AgAs structure at the PBE-GGA level of DFT.

As for the uncorrected energy: -3.0246 eV/atom. Its calculated formation energy is -0.19 eV per atom.

The space group is I-42d (No. 122) and the conventional cell measures 7.349, 7.349 and 5.310 Å, with angles of 90.00, 90.00 and 90.00 degrees. Symmetry generates all atoms from Li at (0.227, 0.250, 0.125), Ag at (0.000, 0.000, 0.500) and As at (0.000, 0.000, 0.000).

---

Computed, not measured: a geometry-optimized Li3AgAs structure at the PBE-GGA level of DFT.

As for the uncorrected energy: -3.0598 eV/atom. Its calculated formation energy is -0.41 eV per atom.

The space group is P-1 (No. 2) and the conventional cell measures 4.741, 4.753 and 7.492 Å, with angles of 86.44, 71.73 and 79.08 degrees. Symmetry generates all atoms from Li at (0.051, 0.249, 0.397), Li at (0.248, 0.249, 0.002), Li at (0.442, 0.250, 0.614), Ag at (0.352, 0.750, 0.797) and As at (0.142, 0.749, 0.218).

---

Computed, not measured: a geometry-optimized LiAgAs2 structure at the PBE-GGA level of DFT.

As for the uncorrected energy: -3.5459 eV/atom. Its calculated formation energy is -0.03 eV per atom.

The space group is Fm-3m (No. 225) and the conventional cell measures 6.613, 6.613 and 6.613 Å, with angles of 90.00, 90.00 and 90.00 degrees. Symmetry generates all atoms from Li at (0.000, 0.000, 0.000), Ag at (0.000, 0.000, 0.500) and As at (0.250, 0.250, 0.250).

---

Computed, not measured: a geometry-optimized Li3Ag5As2 structure at the PBE-GGA level of DFT.

As for the uncorrected energy: -3.0626 eV/atom. Its calculated formation energy is -0.13 eV per atom.

The space group is Ibam (No. 72) and the conventional cell measures 11.135, 12.673 and 5.592 Å, with angles of 90.00, 90.00 and 90.00 degrees. Symmetry generates all atoms from Li at (0.000, 0.000, 0.250), Li at (0.122, 0.208, 0.000), Ag at (0.000, 0.500, 0.250), Ag at (0.120, 0.337, 0.500), Ag at (0.249, 0.000, 0.250) and As at (0.126, 0.139, 0.500).

---

Computed, not measured: a geometry-optimized Li4Ag3As2 structure at the PBE-GGA level of DFT.

As for the uncorrected energy: -3.1731 eV/atom. Its calculated formation energy is -0.34 eV per atom.

The space group is C2/m (No. 12) and the conventional cell measures 8.709, 4.152 and 8.474 Å, with angles of 90.00, 107.24 and 90.00 degrees. Symmetry generates all atoms from Li at (0.003, 0.000, 0.328), Li at (0.162, 0.500, 0.882), Ag at (0.000, 0.000, 0.000), Ag at (0.165, 0.500, 0.552) and As at (0.176, 0.500, 0.215).

---

Computed, not measured: a geometry-optimized Li3AgAs structure at the PBE-GGA level of DFT.

As for the uncorrected energy: -2.5501 eV/atom. Its calculated formation energy is 0.10 eV per atom.

The space group is Pm-3m (No. 221) and the conventional cell measures 4.690, 4.690 and 4.690 Å, with angles of 90.00, 90.00 and 90.00 degrees. Symmetry generates all atoms from Li at (0.000, 0.000, 0.500), Ag at (0.000, 0.000, 0.000) and As at (0.500, 0.500, 0.500).

---

Computed, not measured: a geometry-optimized LiAgAs2 structure at the PBE-GGA level of DFT.

As for the uncorrected energy: -3.5906 eV/atom. Its calculated formation energy is -0.07 eV per atom.

The space group is P2/m (No. 10) and the conventional cell measures 4.701, 3.032 and 5.470 Å, with angles of 90.00, 113.32 and 90.00 degrees. Symmetry generates all atoms from Li at (0.000, 0.000, 0.000), Ag at (0.000, 0.500, 0.500), As at (0.500, 0.000, 0.500) and As at (0.500, 0.500, 0.000).